VASP calculation (GGA-PBE) on crystalline Dy2HoEr2Tm at its relaxed geometry.

Cell: 3.446 15.953 6.881 Å, 90.00 90.00 90.00°
Fractional positions:
1 Dy 0.500 0.157 0.250
2 Dy 0.000 0.657 0.250
3 Dy 0.500 0.843 0.750
4 Dy 0.000 0.343 0.750
5 Ho 0.500 0.500 0.000
6 Ho 0.000 0.000 0.500
7 Er 0.500 0.846 0.250
8 Er 0.500 0.154 0.750
9 Er 0.000 0.654 0.750
10 Er 0.000 0.346 0.250
11 Tm 0.000 0.000 0.000
12 Tm 0.500 0.500 0.500

Space-group type ... Pnnm, No. 58
Formation enthalpy at 0 K ... 0.160 eV/atom
V ... 31.5 A^3/atom
DOS at the Fermi energy ... 19.46 states/eV/cell